This record from the Alexandria database describes La2MgAl3Ga6 after structural relaxation. The functional is PBE.

The structure in POSCAR format:
```
La2MgAl3Ga6
1.0
4.561 0.000 0.000
0.000 4.561 0.000
0.000 0.000 14.923
La Mg Al Ga
2 1 3 6
Direct
0.000 0.000 0.245 La
0.000 0.000 0.755 La
0.000 0.000 0.500 Mg
0.500 0.500 0.000 Al
0.500 0.500 0.318 Al
0.500 0.500 0.682 Al
0.000 0.500 0.406 Ga
0.000 0.500 0.594 Ga
0.500 0.000 0.406 Ga
0.500 0.000 0.594 Ga
0.500 0.500 0.159 Ga
0.500 0.500 0.841 Ga
```

Summary:
theoretical density: 4287 kg/m³
formation energy from the elements: -0.0754 eV/atom
V: 310.4 Å³ per cell
crystal system: tetragonal